## CrSnP2O (SCAN)

Data for a crystal of CrSnP2O relaxed with PBEsol.

```
CrSnP2O
1.0
-1.621 -0.185 -3.489
3.055 -3.824 -1.216
-3.405 -3.279 1.757
Cr Sn O P
1 1 1 2
Direct
0.500 0.500 0.500
0.000 0.000 0.000
0.500 0.000 0.000
0.000 0.000 0.500
0.000 0.500 0.000
```

E_form (uncorrected): 235 kJ/mol of formula units
Density of states at the Fermi level: 3.0 states/eV/f.u.
Calculated total energy: -78.90 eV for the cell shown